Computed, not measured: a relaxed structure of Na3In9Pd2 at the PBE level of DFT.

The structure in CIF format:
```
data_Na3In9Pd2
_chemical_formula_sum 'Na3 In9 Pd2'
_space_group_name_H-M_alt 'P 1'
_space_group_IT_number 1
_cell_length_a 8.876
_cell_length_b 8.876
_cell_length_c 8.876
_cell_angle_alpha 149.63
_cell_angle_beta 100.73
_cell_angle_gamma 87.19
loop_
_space_group_symop_operation_xyz
'x,y,z'
loop_
_atom_site_label
_atom_site_fract_x
_atom_site_fract_y
_atom_site_fract_z
_atom_site_occupancy
Na1 0.000 0.000 0.000 1
Na2 0.295 0.295 0.000 1
Na3 0.705 0.705 0.000 1
In1 0.003 0.370 0.632 1
In2 0.151 0.860 0.291 1
In3 0.262 0.630 0.632 1
In4 0.431 0.140 0.291 1
In5 0.500 0.000 0.500 1
In6 0.569 0.860 0.709 1
In7 0.738 0.370 0.368 1
In8 0.849 0.140 0.709 1
In9 0.997 0.630 0.368 1
Pd1 0.342 0.500 0.842 1
Pd2 0.658 0.500 0.158 1
```

Calculated values
As for the density of states at the Fermi level: 4.3 states/eV/cell. The volume comes out at 24.18 A^3/atom. For the formation energy, the calculation gives -0.195 eV/atom.